The following is a GGA-PBEsol calculation of an optimized crystal structure of La3AsI3, from the Alexandria database.

Geometry as CIF:
```
data_La3AsI3
_cell_length_a 12.4206
_cell_length_b 12.4206
_cell_length_c 12.4206
_cell_angle_alpha 90.00
_cell_angle_beta 90.00
_cell_angle_gamma 90.00
_symmetry_space_group_name_H-M 'I 41 3 2'
_symmetry_Int_Tables_number 214
_symmetry_space_group_name_Hall 'I 4bd 2c 3'
loop_
_atom_site_label
_atom_site_fract_x
_atom_site_fract_y
_atom_site_fract_z
La1 0.1112 0.1388 0.6250
As1 0.1250 0.3750 0.6250
I1 0.1145 0.3645 0.1250
```

Output
calculated volume = 1916.13 Å³/cell
theoretical density = 6.0 Mg/m³
raw formation energy = -993 kJ/mol of formula units


The following is a GGA-PBEsol calculation of an optimized crystal structure of NbSe2I, from the Alexandria database.

Geometry as CIF:
```
data_NbSe2I
_cell_length_a 7.0836
_cell_length_b 7.0836
_cell_length_c 10.0767
_cell_angle_alpha 90.00
_cell_angle_beta 90.00
_cell_angle_gamma 90.00
_symmetry_space_group_name_H-M 'I -4 2 d'
_symmetry_Int_Tables_number 122
_symmetry_space_group_name_Hall 'I -4 2bw'
loop_
_atom_site_label
_atom_site_fract_x
_atom_site_fract_y
_atom_site_fract_z
Nb1 0.0000 0.0000 0.0000
Se1 0.1528 0.7500 0.1250
I1 0.0000 0.0000 0.5000
```

Output
calculated volume = 505.63 Å³/cell
theoretical density = 5.0 Mg/m³
raw formation energy = -29 kJ/mol of formula units


The following is a GGA-PBEsol calculation of an optimized crystal structure of ZrTiS4, from the Alexandria database.

Geometry as CIF:
```
data_ZrTiS4
_cell_length_a 3.4965
_cell_length_b 3.4965
_cell_length_c 11.3757
_cell_angle_alpha 90.00
_cell_angle_beta 90.00
_cell_angle_gamma 120.00
_symmetry_space_group_name_H-M 'P -3 m 1'
_symmetry_Int_Tables_number 164
_symmetry_space_group_name_Hall '-P 3 2"'
loop_
_atom_site_label
_atom_site_fract_x
_atom_site_fract_y
_atom_site_fract_z
Zr1 0.0000 0.0000 0.0000
Ti1 0.0000 0.0000 0.5000
S1 0.3333 0.6667 0.1334
S2 0.3333 0.6667 0.6197
```

Output
calculated volume = 120.44 Å³/cell
theoretical density = 3.7 Mg/m³
raw formation energy = -819 kJ/mol of formula units